No. 1
Material: Ti4O3
Method: DFT, PBEsol
State: optimized geometry

Properties
Density   5.435 g/cm³
Raw formation energy   -2.244 eV/atom
Total magnetic moment   0.0 μB/cell
Raw total energy   -9.250 eV/atom
Symmetry   I4/mmm, No. 139

Lattice parameters (Å, degrees): 4.2200 4.2200 5.0776 114.55 114.55 90.00
With the nearest neighbours (Å) after each atom.
Sites, in units of the cell vectors:
O1 0.2500 0.7500 0.5000  6 Ti 2.05-2.11
O2 0.0000 0.0000 0.0000  6 Ti 2.11-2.14
O3 0.7500 0.2500 0.5000  6 Ti 2.05-2.11
Ti1 0.0000 0.5000 0.0000  4 O 2.05-2.11
Ti2 0.7390 0.7390 0.4780  5 O 2.11-2.14
Ti3 0.5000 0.0000 0.0000  4 O 2.05-2.11
Ti4 0.2610 0.2610 0.5220  5 O 2.11-2.14

No. 2
Material: CeRh
Method: DFT, PBEsol
State: optimized geometry

Properties
Density   9.758 g/cm³
Formation energy from the elements   -65 kJ/mol of atoms
Total magnetic moment   0.0 μB/cell
Raw total energy   -8.037 eV/atom
Symmetry   Cmcm, No. 63

Lattice parameters (Å, degrees): 3.8000 3.9254 5.8612 90.00 108.92 90.00
With the nearest neighbours (Å) after each atom.
Sites, in units of the cell vectors:
Rh1 0.5972 0.2500 0.1945  5 Ce 2.77-2.95, 2 Rh 2.92
Rh2 0.4028 0.7500 0.8055  5 Ce 2.77-2.95, 2 Rh 2.92
Ce1 0.8632 0.2500 0.7264  5 Rh 2.77-2.95
Ce2 0.1368 0.7500 0.2736  5 Rh 2.77-2.95

No. 3
Material: Tc2PRu
Method: DFT, PBEsol
State: optimized geometry

Properties
Density   10.416 g/cm³
Formation energy from the elements   -26 kJ/mol of atoms
Total magnetic moment   0.0 μB/cell
Raw total energy   -9.898 eV/atom
Symmetry   Immm, No. 71

Lattice parameters (Å, degrees): 2.8609 4.2631 4.9977 115.25 106.63 90.00
With the nearest neighbours (Å) after each atom.
Sites, in units of the cell vectors:
P1 0.0000 0.5000 0.0000  4 Tc 2.35, 4 Ru 2.57
Ru1 0.5000 0.0000 0.0000  4 P 2.57, 8 Tc 2.81-2.83, 2 Ru 2.86
Tc1 0.7176 0.7176 0.4351  2 P 2.35, 4 Tc 2.63
Tc2 0.2824 0.2824 0.5649  2 P 2.35, 4 Tc 2.63

No. 4
Material: CuNCl3
Method: DFT, PBEsol
State: optimized geometry

Properties
Density   3.850 g/cm³
Raw formation energy   0.940 eV/atom
Total magnetic moment   0.0 μB/cell
Raw total energy   -2.837 eV/atom
Symmetry   Pm-3m, No. 221

Lattice parameters (Å, degrees): 4.2966 4.2966 4.2966 90.00 90.00 90.00
With the nearest neighbours (Å) after each atom.
Sites, in units of the cell vectors:
N1 0.0000 0.0000 0.0000  6 Cl 2.15
Cu1 0.5000 0.5000 0.5000  12 Cl 3.04
Cl1 0.0000 0.5000 0.0000  2 N 2.15
Cl2 0.0000 0.0000 0.5000  2 N 2.15
Cl3 0.5000 0.0000 0.0000  2 N 2.15

No. 5
Material: Mn5Sb
Method: DFT, PBEsol
State: optimized geometry

Properties
Density   9.023 g/cm³
Raw formation energy   0.093 eV/atom
Total magnetic moment   2.9 μB/cell
Raw total energy   -8.800 eV/atom
Symmetry   Cmmm, No. 65

Lattice parameters (Å, degrees): 3.7610 3.7626 5.4880 90.00 110.04 90.00
With the nearest neighbours (Å) after each atom.
Sites, in units of the cell vectors:
Sb1 0.0000 0.5000 0.0000  12 Mn 2.66-2.67
Mn1 0.8161 0.0000 0.6323  4 Mn 2.32
Mn2 0.1839 0.0000 0.3677  4 Mn 2.32
Mn3 0.5000 0.0000 0.0000  4 Sb 2.66, 8 Mn 2.67
Mn4 0.3159 0.5000 0.6318  4 Mn 2.32
Mn5 0.6841 0.5000 0.3682  4 Mn 2.32

No. 6
Material: Co6ReMo
Method: DFT, PBEsol
State: optimized geometry

Properties
Density   11.965 g/cm³
Formation energy from the elements   -1 kJ/mol of atoms
Total magnetic moment   0.0 μB/cell
Raw total energy   -8.946 eV/atom
Symmetry   Cmmm, No. 65

Lattice parameters (Å, degrees): 6.1198 6.1198 9.9942 90.00 90.00 109.46
With the nearest neighbours (Å) after each atom.
Sites, in units of the cell vectors:
Co1 0.2511 0.7489 0.7520  8 Co 2.48-2.52, 2 Re 2.48-2.49, 2 Mo 2.51-2.52
Co2 0.8737 0.6225 0.8761  8 Co 2.48-2.51, 3 Re 2.49-2.51, 1 Mo 2.53
Co3 0.1263 0.3775 0.8761  8 Co 2.48-2.51, 3 Re 2.49-2.51, 1 Mo 2.53
Co4 0.7489 0.2511 0.7520  8 Co 2.48-2.52, 2 Re 2.48-2.49, 2 Mo 2.51-2.52
Co5 0.3775 0.1263 0.8761  8 Co 2.48-2.51, 3 Re 2.49-2.51, 1 Mo 2.53
Co6 0.6225 0.8737 0.8761  8 Co 2.48-2.51, 3 Re 2.49-2.51, 1 Mo 2.53
Co7 0.5000 0.5000 0.5000  2 Re 2.48, 8 Co 2.49, 2 Mo 2.52
Co8 0.1270 0.3763 0.6262  1 Re 2.47, 3 Mo 2.49-2.51, 8 Co 2.49-2.52
Co9 0.3763 0.1270 0.6262  1 Re 2.47, 3 Mo 2.49-2.51, 8 Co 2.49-2.52
Co10 0.2511 0.7489 0.2480  8 Co 2.48-2.52, 2 Re 2.48-2.49, 2 Mo 2.51-2.52
Co11 0.8730 0.6237 0.3738  1 Re 2.47, 3 Mo 2.49-2.51, 8 Co 2.49-2.52
Co12 0.1270 0.3763 0.3738  1 Re 2.47, 3 Mo 2.49-2.51, 8 Co 2.49-2.52
Co13 0.7489 0.2511 0.2480  8 Co 2.48-2.52, 2 Re 2.48-2.49, 2 Mo 2.51-2.52
Co14 0.3763 0.1270 0.3738  1 Re 2.47, 3 Mo 2.49-2.51, 8 Co 2.49-2.52
Co15 0.6237 0.8730 0.3738  1 Re 2.47, 3 Mo 2.49-2.51, 8 Co 2.49-2.52
Co16 0.5000 0.5000 0.0000  8 Co 2.49, 4 Re 2.52
Co17 0.1263 0.3775 0.1239  8 Co 2.48-2.51, 3 Re 2.49-2.51, 1 Mo 2.53
Co18 0.3775 0.1263 0.1239  8 Co 2.48-2.51, 3 Re 2.49-2.51, 1 Mo 2.53
Co19 0.0000 0.0000 0.5000  4 Mo 2.48, 8 Co 2.51
Co20 0.6237 0.8730 0.6262  1 Re 2.47, 3 Mo 2.49-2.51, 8 Co 2.49-2.52
Co21 0.8730 0.6237 0.6262  1 Re 2.47, 3 Mo 2.49-2.51, 8 Co 2.49-2.52
Co22 0.0000 0.0000 0.0000  2 Re 2.48, 8 Co 2.51, 2 Mo 2.52
Co23 0.6225 0.8737 0.1239  8 Co 2.48-2.51, 3 Re 2.49-2.51, 1 Mo 2.53
Co24 0.8737 0.6225 0.1239  8 Co 2.48-2.51, 3 Re 2.49-2.51, 1 Mo 2.53
Mo1 0.2483 0.7517 0.5000  12 Co 2.48-2.52
Mo2 0.7517 0.2483 0.5000  12 Co 2.48-2.52
Mo3 0.0000 0.0000 0.7482  12 Co 2.48-2.53
Mo4 0.0000 0.0000 0.2518  12 Co 2.48-2.53
Re1 0.2478 0.7522 0.0000  12 Co 2.48-2.52
Re2 0.7522 0.2478 0.0000  12 Co 2.48-2.52
Re3 0.5000 0.5000 0.7482  12 Co 2.47-2.52
Re4 0.5000 0.5000 0.2518  12 Co 2.47-2.52

No. 7
Material: HfZrGeI2
Method: DFT, PBEsol
State: optimized geometry

Properties
Density   6.237 g/cm³
Raw formation energy   0.827 eV/atom
Total magnetic moment   0.0 μB/cell
Raw total energy   -4.786 eV/atom
Symmetry   P4/mmm, No. 123

Lattice parameters (Å, degrees): 5.3884 5.3884 5.4667 90.00 90.00 90.00
With the nearest neighbours (Å) after each atom.
Sites, in units of the cell vectors:
I1 0.0000 0.5000 0.0000  2 Zr 2.69
I2 0.5000 0.0000 0.0000  2 Zr 2.69
Ge1 0.5000 0.5000 0.5000  4 Hf 3.81, 8 I 3.84
Hf1 0.0000 0.0000 0.5000  2 Zr 2.73
Zr1 0.0000 0.0000 0.0000  4 I 2.69, 2 Hf 2.73

No. 8
Material: MgCr2In
Method: DFT, PBEsol
State: optimized geometry

Properties
Density   5.799 g/cm³
Formation energy from the elements   48 kJ/mol of atoms
Total magnetic moment   7.1 μB/cell
Raw total energy   -5.796 eV/atom
Symmetry   P4/mmm, No. 123

Lattice parameters (Å, degrees): 3.5836 4.4073 4.4073 90.00 90.00 90.00
With the nearest neighbours (Å) after each atom.
Sites, in units of the cell vectors:
Cr1 0.0000 0.0000 0.5000  4 In 2.84, 4 Mg 2.84, 4 Cr 3.12
Cr2 0.0000 0.5000 0.0000  4 In 2.84, 4 Mg 2.84, 4 Cr 3.12
In1 0.5000 0.5000 0.5000  8 Cr 2.84, 4 Mg 3.12
Mg1 0.5000 0.0000 0.0000  8 Cr 2.84, 4 In 3.12

No. 9
Material: Mg2PIr2
Method: DFT, PBEsol
State: optimized geometry

Properties
Density   9.664 g/cm³
Formation energy from the elements   -40 kJ/mol of atoms
Total magnetic moment   0.0 μB/cell
Raw total energy   -6.187 eV/atom
Symmetry   P4/mbm, No. 127

Lattice parameters (Å, degrees): 4.3499 6.0546 6.0546 90.00 90.00 90.00
With the nearest neighbours (Å) after each atom.
Sites, in units of the cell vectors:
P1 0.0000 0.0000 0.0000  4 Ir 2.29
P2 0.0000 0.5000 0.5000  4 Ir 2.29
Mg1 0.5000 0.1627 0.6627  6 Ir 2.68-2.90, 1 Mg 2.79
Mg2 0.5000 0.6627 0.8373  6 Ir 2.68-2.90, 1 Mg 2.79
Mg3 0.5000 0.8373 0.3373  6 Ir 2.68-2.90, 1 Mg 2.79
Mg4 0.5000 0.3373 0.1627  6 Ir 2.68-2.90, 1 Mg 2.79
Ir1 0.0000 0.3454 0.8454  2 P 2.29
Ir2 0.0000 0.8454 0.6546  2 P 2.29
Ir3 0.0000 0.6546 0.1546  2 P 2.29
Ir4 0.0000 0.1546 0.3454  2 P 2.29

No. 10
Material: Ba4OF6
Method: DFT, PBEsol
State: optimized geometry

Properties
Density   4.808 g/cm³
Raw formation energy   -3.604 eV/atom
Total magnetic moment   0.3 μB/cell
Raw total energy   -5.914 eV/atom
Symmetry   P4_2/nmc, No. 137

Lattice parameters (Å, degrees): 6.2361 8.6745 8.6745 90.00 90.00 90.00
With the nearest neighbours (Å) after each atom.
Sites, in units of the cell vectors:
Ba1 0.2935 0.0000 0.2541  1 O 2.55, 6 F 2.60-2.74
Ba2 0.7935 0.7541 0.5000  1 O 2.55, 6 F 2.60-2.74
Ba3 0.7935 0.2459 0.5000  1 O 2.55, 6 F 2.60-2.74
Ba4 0.2935 0.0000 0.7459  1 O 2.55, 6 F 2.60-2.74
Ba5 0.2065 0.5000 0.7541  1 O 2.55, 6 F 2.60-2.74
Ba6 0.7065 0.2541 0.0000  1 O 2.55, 6 F 2.60-2.74
Ba7 0.7065 0.7459 0.0000  1 O 2.55, 6 F 2.60-2.74
Ba8 0.2065 0.5000 0.2459  1 O 2.55, 6 F 2.60-2.74
O1 0.0000 0.5000 0.5000  4 Ba 2.55
O2 0.5000 0.0000 0.0000  4 Ba 2.55
F1 0.5000 0.7228 0.2772  4 Ba 2.68-2.74
F2 0.5000 0.2772 0.2772  4 Ba 2.68-2.74
F3 0.5330 0.0000 0.5000  4 Ba 2.60-2.68
F4 0.0330 0.0000 0.5000  4 Ba 2.60-2.68
F5 0.5000 0.2772 0.7228  4 Ba 2.68-2.74
F6 0.5000 0.7228 0.7228  4 Ba 2.68-2.74
F7 0.0000 0.7772 0.7772  4 Ba 2.68-2.74
F8 0.0000 0.2228 0.7772  4 Ba 2.68-2.74
F9 0.9670 0.5000 0.0000  4 Ba 2.60-2.68
F10 0.4670 0.5000 0.0000  4 Ba 2.60-2.68
F11 0.0000 0.7772 0.2228  4 Ba 2.68-2.74
F12 0.0000 0.2228 0.2228  4 Ba 2.68-2.74

No. 11
Material: LiMg2Zn
Method: DFT, PBEsol
State: optimized geometry

Properties
Density   2.453 g/cm³
Formation energy from the elements   14 kJ/mol of atoms
Total magnetic moment   0.0 μB/cell
Raw total energy   -1.599 eV/atom
Symmetry   I-42d, No. 122

Lattice parameters (Å, degrees): 5.7562 6.0609 6.0609 76.97 61.65 61.65
With the nearest neighbours (Å) after each atom.
Sites, in units of the cell vectors:
Zn1 0.0000 0.0000 0.0000  4 Mg 2.67, 2 Li 2.88
Zn2 0.7500 0.5000 0.5000  4 Mg 2.67, 2 Li 2.88
Mg1 0.6437 0.9813 0.4813  2 Zn 2.67, 2 Li 2.86, 2 Mg 2.89
Mg2 0.1063 0.0187 0.5187  2 Zn 2.67, 2 Li 2.86, 2 Mg 2.89
Mg3 0.3750 0.5187 0.9813  2 Zn 2.67, 2 Li 2.86, 2 Mg 2.89
Mg4 0.8750 0.4813 0.0187  2 Zn 2.67, 2 Li 2.86, 2 Mg 2.89
Li1 0.5000 0.0000 0.0000  4 Mg 2.86, 2 Zn 2.88
Li2 0.2500 0.5000 0.5000  4 Mg 2.86, 2 Zn 2.88

No. 12
Material: Ga2AgOsPd
Method: DFT, PBEsol
State: optimized geometry

Properties
Density   8.503 g/cm³
Formation energy from the elements   70 kJ/mol of atoms
Total magnetic moment   0.0 μB/cell
Raw total energy   -4.903 eV/atom
Symmetry   P4/mmm, No. 123

Lattice parameters (Å, degrees): 4.6686 4.6686 4.8741 90.00 90.00 90.00
With the nearest neighbours (Å) after each atom.
Sites, in units of the cell vectors:
Ga1 0.0000 0.5000 0.0000  2 Os 2.33
Ga2 0.5000 0.0000 0.0000  2 Os 2.33
Os1 0.0000 0.0000 0.0000  4 Ga 2.33, 2 Pd 2.44
Pd1 0.0000 0.0000 0.5000  2 Os 2.44
Ag1 0.5000 0.5000 0.5000  4 Pd 3.30, 8 Ga 3.37

Question: density of number 2 (CeRh)?
Answer: 9.758 g/cm³

Question: Which of these has the highest density?
Answer: Co6ReMo

What did the third record say?
Material: Tc2PRu
Method: DFT, PBEsol
State: optimized geometry

Properties
Density   10.416 g/cm³
Formation energy from the elements   -26 kJ/mol of atoms
Total magnetic moment   0.0 μB/cell
Raw total energy   -9.898 eV/atom
Symmetry   Immm, No. 71

Lattice parameters (Å, degrees): 2.8609 4.2631 4.9977 115.25 106.63 90.00
With the nearest neighbours (Å) after each atom.
Sites, in units of the cell vectors:
P1 0.0000 0.5000 0.0000  4 Tc 2.35, 4 Ru 2.57
Ru1 0.5000 0.0000 0.0000  4 P 2.57, 8 Tc 2.81-2.83, 2 Ru 2.86
Tc1 0.7176 0.7176 0.4351  2 P 2.35, 4 Tc 2.63
Tc2 0.2824 0.2824 0.5649  2 P 2.35, 4 Tc 2.63

Question: What is the raw total energy in the sixth record?
Answer: -8.946 eV/atom